Record 1
This record from Alexandria via LeMat-Bulk describes KPrP4O12 after structural relaxation. The functional is PBEsol.

Structure (CIF):
```
data_KPrP4O12
_space_group_name_H-M_alt 'P 1'
_space_group_IT_number 1
_cell_length_a 7.3243
_cell_length_b 8.0506
_cell_length_c 8.4960
_cell_angle_alpha 90.00
_cell_angle_beta 90.00
_cell_angle_gamma 91.91
loop_
_space_group_symop_operation_xyz
'x,y,z'
loop_
_atom_site_label
_atom_site_fract_x
_atom_site_fract_y
_atom_site_fract_z
O1 0.4161 0.8224 0.8803
O2 0.4912 0.2172 0.6641
O3 0.1086 0.5706 0.8131
O4 0.5839 0.1776 0.3803
O5 0.8914 0.4294 0.3131
O6 0.5088 0.7828 0.1641
O7 0.3304 0.6119 0.3696
O8 0.8147 0.0747 0.8864
O9 0.3299 0.3448 0.8824
O10 0.9385 0.0390 0.2126
O11 0.4703 0.5315 0.6687
O12 0.6701 0.6552 0.3824
O13 0.9644 0.6502 0.5267
O14 0.5297 0.4685 0.1687
O15 0.8122 0.1265 0.5889
O16 0.0439 0.2730 0.7366
O17 0.6696 0.3881 0.8696
O18 0.4647 0.0702 0.0723
O19 0.1853 0.9253 0.3864
O20 0.5353 0.9298 0.5723
O21 0.0615 0.9610 0.7126
O22 0.0356 0.3498 0.0267
O23 0.1878 0.8735 0.0889
O24 0.9561 0.7270 0.2366
K1 0.7690 0.7194 0.8014
K2 0.2310 0.2806 0.3014
P1 0.4987 0.6179 0.2692
P2 0.9329 0.0980 0.7440
P3 0.6011 0.1050 0.5413
P4 0.1204 0.3965 0.8723
P5 0.5013 0.3821 0.7692
P6 0.0671 0.9020 0.2440
P7 0.3989 0.8950 0.0413
P8 0.8796 0.6035 0.3723
Pr1 0.2644 0.7571 0.6201
Pr2 0.7356 0.2429 0.1201
```

**Total magnetic moment**: 0.00 μB per cell
**Uncorrected formation energy**: -2468 meV per atom

Record 2
This record from Alexandria via LeMat-Bulk describes Ni2HgAs after structural relaxation. The functional is PBEsol.

Structure (CIF):
```
data_Ni2HgAs
_space_group_name_H-M_alt 'P 1'
_space_group_IT_number 1
_cell_length_a 2.8915
_cell_length_b 3.5233
_cell_length_c 6.3794
_cell_angle_alpha 106.03
_cell_angle_beta 103.10
_cell_angle_gamma 90.00
loop_
_space_group_symop_operation_xyz
'x,y,z'
loop_
_atom_site_label
_atom_site_fract_x
_atom_site_fract_y
_atom_site_fract_z
Ni1 0.9901 0.9901 0.9801
Ni2 0.6690 0.1690 0.3380
As1 0.5427 0.5427 0.0855
Hg1 0.2982 0.7982 0.5964
```

**Total magnetic moment**: 0.00 μB per cell
**Energy relative to the elements**: -6 meV/atom

Record 3
This record from Alexandria via LeMat-Bulk describes HfTeOsI2 after structural relaxation. The functional is PBEsol.

Structure (CIF):
```
data_HfTeOsI2
_space_group_name_H-M_alt 'P 1'
_space_group_IT_number 1
_cell_length_a 5.4748
_cell_length_b 5.5211
_cell_length_c 5.5211
_cell_angle_alpha 90.00
_cell_angle_beta 90.00
_cell_angle_gamma 90.00
loop_
_space_group_symop_operation_xyz
'x,y,z'
loop_
_atom_site_label
_atom_site_fract_x
_atom_site_fract_y
_atom_site_fract_z
I1 0.0000 0.5000 0.0000
I2 0.0000 0.0000 0.5000
Hf1 0.0000 0.0000 0.0000
Te1 0.5000 0.0000 0.0000
Os1 0.5000 0.5000 0.5000
```

**Total magnetic moment**: 4.24 μB per cell
**Uncorrected formation energy**: 1238 meV per atom

Record 4
This record from Alexandria via LeMat-Bulk describes Pt2C3 after structural relaxation. The functional is PBEsol.

Structure (CIF):
```
data_Pt2C3
_space_group_name_H-M_alt 'P 1'
_space_group_IT_number 1
_cell_length_a 2.8285
_cell_length_b 5.2193
_cell_length_c 8.5206
_cell_angle_alpha 87.42
_cell_angle_beta 80.45
_cell_angle_gamma 74.28
loop_
_space_group_symop_operation_xyz
'x,y,z'
loop_
_atom_site_label
_atom_site_fract_x
_atom_site_fract_y
_atom_site_fract_z
Pt1 0.1839 0.5155 0.1422
Pt2 0.8415 0.4845 0.8578
Pt3 0.0760 0.0155 0.3578
Pt4 0.4494 0.9845 0.6422
C1 0.0477 0.5000 0.5000
C2 0.2977 0.0000 0.0000
C3 0.4732 0.8649 0.8657
C4 0.0881 0.6351 0.3657
C5 0.2037 0.1351 0.1343
C6 0.0889 0.3649 0.6343
```

**Total magnetic moment**: 0.00 μB per cell
**Energy relative to the elements**: 1003 meV/atom

Record 5
This record from Alexandria via LeMat-Bulk describes Mn2Nb4Zn3O16 after structural relaxation. The functional is PBEsol.

Structure (CIF):
```
data_Mn2Nb4Zn3O16
_space_group_name_H-M_alt 'P 1'
_space_group_IT_number 1
_cell_length_a 5.1028
_cell_length_b 5.8535
_cell_length_c 9.7583
_cell_angle_alpha 102.19
_cell_angle_beta 88.90
_cell_angle_gamma 91.92
loop_
_space_group_symop_operation_xyz
'x,y,z'
loop_
_atom_site_label
_atom_site_fract_x
_atom_site_fract_y
_atom_site_fract_z
O1 0.0753 0.4324 0.1049
O2 0.4184 0.0652 0.3501
O3 0.3621 0.5604 0.3665
O4 0.9266 0.5586 0.8904
O5 0.0666 0.7469 0.6471
O6 0.6473 0.4474 0.6136
O7 0.5533 0.6860 0.1077
O8 0.5828 0.1968 0.1303
O9 0.9218 0.0443 0.8701
O10 0.0671 0.9551 0.1320
O11 0.5656 0.9274 0.6439
O12 0.9129 0.2674 0.3524
O13 0.1393 0.1719 0.6186
O14 0.4528 0.3188 0.8881
O15 0.4098 0.8010 0.8673
O16 0.8620 0.8304 0.3857
Nb1 0.7339 0.9405 0.2205
Nb2 0.2422 0.2816 0.2478
Nb3 0.7560 0.7096 0.7509
Nb4 0.2530 0.0636 0.7753
Mn1 0.7591 0.3460 0.9959
Mn2 0.2450 0.6419 0.9956
Zn1 0.7795 0.1340 0.5493
Zn2 0.7183 0.5479 0.4349
Zn3 0.2340 0.8655 0.4695
```

**Total magnetic moment**: 8.00 μB per cell
**Uncorrected formation energy**: -2041 meV per atom

Record 6
This record from Alexandria via LeMat-Bulk describes BaSrPb2O6 after structural relaxation. The functional is PBEsol.

Structure (CIF):
```
data_BaSrPb2O6
_space_group_name_H-M_alt 'P 1'
_space_group_IT_number 1
_cell_length_a 5.9785
_cell_length_b 6.0372
_cell_length_c 8.4803
_cell_angle_alpha 90.00
_cell_angle_beta 90.00
_cell_angle_gamma 90.00
loop_
_space_group_symop_operation_xyz
'x,y,z'
loop_
_atom_site_label
_atom_site_fract_x
_atom_site_fract_y
_atom_site_fract_z
Pb1 0.7497 0.9997 0.7445
Pb2 0.7497 0.9997 0.2555
Pb3 0.2503 0.4997 0.2555
Pb4 0.2503 0.4997 0.7445
O1 0.4580 0.2076 0.2160
O2 0.9601 0.2867 0.6952
O3 0.6533 0.9580 0.5000
O4 0.5420 0.7076 0.2160
O5 0.0399 0.7867 0.6952
O6 0.4580 0.2076 0.7840
O7 0.0399 0.7867 0.3048
O8 0.3467 0.4580 0.5000
O9 0.5420 0.7076 0.7840
O10 0.1821 0.5087 0.0000
O11 0.9601 0.2867 0.3048
O12 0.8179 0.0087 0.0000
Sr1 0.2416 0.0437 0.5000
Sr2 0.7584 0.5437 0.5000
Ba1 0.2597 0.9651 0.0000
Ba2 0.7403 0.4651 0.0000
```

**Total magnetic moment**: 0.00 μB per cell
**Uncorrected formation energy**: -1739 meV per atom

Record 7
This record from Alexandria via LeMat-Bulk describes Hg4TeIr after structural relaxation. The functional is PBEsol.

Structure (CIF):
```
data_Hg4TeIr
_space_group_name_H-M_alt 'P 1'
_space_group_IT_number 1
_cell_length_a 5.6513
_cell_length_b 5.6513
_cell_length_c 5.6513
_cell_angle_alpha 60.00
_cell_angle_beta 60.00
_cell_angle_gamma 60.00
loop_
_space_group_symop_operation_xyz
'x,y,z'
loop_
_atom_site_label
_atom_site_fract_x
_atom_site_fract_y
_atom_site_fract_z
Hg1 0.3755 0.8736 0.3755
Hg2 0.3755 0.3755 0.3755
Hg3 0.8736 0.3755 0.3755
Hg4 0.3755 0.3755 0.8736
Ir1 0.7500 0.7500 0.7500
Te1 0.0000 0.0000 0.0000
```

**Total magnetic moment**: 0.00 μB per cell
**Uncorrected formation energy**: 739 meV per atom

Record 8
This record from Alexandria via LeMat-Bulk describes TeWCl2 after structural relaxation. The functional is PBEsol.

Structure (CIF):
```
data_TeWCl2
_space_group_name_H-M_alt 'P 1'
_space_group_IT_number 1
_cell_length_a 2.9258
_cell_length_b 3.2108
_cell_length_c 11.1596
_cell_angle_alpha 90.00
_cell_angle_beta 90.00
_cell_angle_gamma 117.11
loop_
_space_group_symop_operation_xyz
'x,y,z'
loop_
_atom_site_label
_atom_site_fract_x
_atom_site_fract_y
_atom_site_fract_z
Cl1 0.0000 0.0000 0.1718
Cl2 0.0000 0.0000 0.8282
Te1 0.5000 0.0000 0.5000
W1 0.5000 0.0000 0.0000
```

**Total magnetic moment**: 0.84 μB per cell
**Energy above the lowest structure with this stoichiometry**: 0.162 eV/atom
**Uncorrected formation energy**: 62 meV per atom

Record 9
This record from Alexandria via LeMat-Bulk describes LaTlRe2 after structural relaxation. The functional is PBEsol.

Structure (CIF):
```
data_LaTlRe2
_space_group_name_H-M_alt 'P 1'
_space_group_IT_number 1
_cell_length_a 2.9680
_cell_length_b 2.9680
_cell_length_c 9.4628
_cell_angle_alpha 90.00
_cell_angle_beta 90.00
_cell_angle_gamma 114.94
loop_
_space_group_symop_operation_xyz
'x,y,z'
loop_
_atom_site_label
_atom_site_fract_x
_atom_site_fract_y
_atom_site_fract_z
Re1 0.0000 0.0000 0.2545
Re2 0.0000 0.0000 0.7455
Tl1 0.5000 0.5000 0.5000
La1 0.5000 0.5000 0.0000
```

**Total magnetic moment**: 0.00 μB per cell
**Energy above the lowest structure with this stoichiometry**: 0.074 eV/atom
**Energy relative to the elements**: 954 meV/atom

Record 10
This record from Alexandria via LeMat-Bulk describes Sr3Mn4O12 after structural relaxation. The functional is PBEsol.

Structure (CIF):
```
data_Sr3Mn4O12
_space_group_name_H-M_alt 'P 1'
_space_group_IT_number 1
_cell_length_a 5.3391
_cell_length_b 5.3391
_cell_length_c 8.9646
_cell_angle_alpha 90.00
_cell_angle_beta 90.00
_cell_angle_gamma 120.00
loop_
_space_group_symop_operation_xyz
'x,y,z'
loop_
_atom_site_label
_atom_site_fract_x
_atom_site_fract_y
_atom_site_fract_z
O1 0.0000 0.5000 0.0000
O2 0.1829 0.3659 0.7535
O3 0.1829 0.8171 0.7535
O4 0.5000 0.5000 0.5000
O5 0.5000 0.0000 0.0000
O6 0.5000 0.5000 0.0000
O7 0.6341 0.8171 0.7535
O8 0.3659 0.1829 0.2465
O9 0.8171 0.6341 0.2465
O10 0.8171 0.1829 0.2465
O11 0.5000 0.0000 0.5000
O12 0.0000 0.5000 0.5000
Mn1 0.3333 0.6667 0.9017
Mn2 0.6667 0.3333 0.3809
Mn3 0.3333 0.6667 0.6191
Mn4 0.6667 0.3333 0.0983
Sr1 0.0000 0.0000 0.5000
Sr2 0.6667 0.3333 0.7493
Sr3 0.3333 0.6667 0.2507
```

**Total magnetic moment**: 5.49 μB per cell
**Uncorrected formation energy**: -2014 meV per atom

Record 11
This record from Alexandria via LeMat-Bulk describes Cr4FeCuS8 after structural relaxation. The functional is PBEsol.

Structure (CIF):
```
data_Cr4FeCuS8
_space_group_name_H-M_alt 'P 1'
_space_group_IT_number 1
_cell_length_a 6.8656
_cell_length_b 6.8656
_cell_length_c 6.8656
_cell_angle_alpha 60.00
_cell_angle_beta 60.00
_cell_angle_gamma 60.00
loop_
_space_group_symop_operation_xyz
'x,y,z'
loop_
_atom_site_label
_atom_site_fract_x
_atom_site_fract_y
_atom_site_fract_z
Cr1 0.8684 0.3772 0.3772
Cr2 0.3772 0.8684 0.3772
Cr3 0.3772 0.3772 0.8684
Cr4 0.3772 0.3772 0.3772
S1 0.1319 0.6043 0.1319
S2 0.6178 0.6178 0.6178
S3 0.6043 0.1319 0.1319
S4 0.1319 0.1319 0.1319
S5 0.6178 0.1465 0.6178
S6 0.1465 0.6178 0.6178
S7 0.1319 0.1319 0.6043
S8 0.6178 0.6178 0.1465
Cu1 0.7500 0.7500 0.7500
Fe1 0.0000 0.0000 0.0000
```

**Total magnetic moment**: 13.98 μB per cell
**Uncorrected formation energy**: -592 meV per atom

Record 12
This record from Alexandria via LeMat-Bulk describes GaPd2I after structural relaxation. The functional is PBEsol.

Structure (CIF):
```
data_GaPd2I
_space_group_name_H-M_alt 'P 1'
_space_group_IT_number 1
_cell_length_a 4.6598
_cell_length_b 4.6598
_cell_length_c 4.6598
_cell_angle_alpha 60.00
_cell_angle_beta 60.00
_cell_angle_gamma 60.00
loop_
_space_group_symop_operation_xyz
'x,y,z'
loop_
_atom_site_label
_atom_site_fract_x
_atom_site_fract_y
_atom_site_fract_z
Pd1 0.2500 0.2500 0.2500
Pd2 0.7500 0.7500 0.7500
Ga1 0.0000 0.0000 0.0000
I1 0.5000 0.5000 0.5000
```

**Total magnetic moment**: 0.00 μB per cell
**Uncorrected formation energy**: -21 meV per atom